# 1
DFT (GGA-PBE) results for an optimized crystal structure of NdSm2Bi.

Cell lengths 4.0880, 4.0880, 10.1948 Å; angles 78.43, 78.43, 60.00 degrees
Sites, in units of the cell vectors:
Sm 0.2641 0.2641 0.2076
Sm 0.7359 0.7359 0.7924
Bi 0.0000 0.0000 0.0000
Nd 0.5000 0.5000 0.5000

Properties
- DFT formation energy: -195.5 meV/atom
- Symmetry: R-3m (166)
- D(E_F): 1.06 states/eV/atom
- Total DFT energy (no corrections): -4.717 eV/atom

---

# 2
DFT (GGA-PBE) results for an optimized crystal structure of NbCr3In.

Cell lengths 4.7411, 4.7411, 4.7411 Å; angles 90.00, 90.00, 90.00 degrees
Last column: magnetic moment on the atom in μB.
Sites, in units of the cell vectors:
In 0.5000 0.5000 0.5000  -0.10
Cr 0.5000 0.0000 0.0000  3.21
Cr 0.0000 0.0000 0.5000  2.55
Cr 0.0000 0.5000 0.0000  2.78
Nb 0.0000 0.0000 0.0000  -0.91

Properties
- DFT formation energy: 1387.1 meV/atom
- Symmetry: Pm-3m (221)
- D(E_F): 0.75 states/eV/atom
- Total DFT energy (no corrections): -6.949 eV/atom

---

# 3
DFT (GGA-PBE) results for an optimized crystal structure of Ho3TlRh.

Cell lengths 4.7453, 6.8303, 8.2791 Å; angles 90.00, 90.00, 90.00 degrees
Sites, in units of the cell vectors:
Ho 0.7500 0.7500 0.0625
Ho 0.7500 0.0038 0.6569
Ho 0.7500 0.4962 0.6569
Tl 0.7500 0.2500 0.1801
Rh 0.7500 0.7500 0.3925
Rh 0.2500 0.2500 0.6075
Tl 0.2500 0.7500 0.8199
Ho 0.2500 0.9962 0.3431
Ho 0.2500 0.2500 0.9375
Ho 0.2500 0.5038 0.3431

Properties
- DFT formation energy: -499.0 meV/atom
- Symmetry: Pmmn (59)
- D(E_F): 0.72 states/eV/atom
- Total DFT energy (no corrections): -5.189 eV/atom

---

# 4
DFT (GGA-PBE) results for an optimized crystal structure of Pm6DyHo6.

Cell lengths 6.7146, 6.7146, 11.3700 Å; angles 90.00, 90.00, 120.00 degrees
Last column: magnetic moment on the atom in μB.
Sites, in units of the cell vectors:
Pm 0.3333 0.6667 0.5000  0.08
Pm 0.6667 0.3333 0.0000  0.01
Ho 0.0000 0.5000 0.2462  0.05
Ho 0.0000 0.5000 0.7538  0.05
Pm 0.3333 0.6667 0.0000  0.01
Ho 0.5000 0.0000 0.7538  0.05
Ho 0.5000 0.5000 0.7538  0.05
Pm 0.0000 0.0000 0.6558  0.05
Ho 0.5000 0.5000 0.2462  0.05
Ho 0.5000 0.0000 0.2462  0.05
Pm 0.6667 0.3333 0.5000  0.08
Dy 0.0000 0.0000 0.0000  0.03
Pm 0.0000 0.0000 0.3442  0.05

Properties
- DFT formation energy: 275.5 meV/atom
- Symmetry: P6/mmm (191)
- D(E_F): 2.18 states/eV/atom
- Total DFT energy (no corrections): -4.384 eV/atom

---

# 5
DFT (GGA-PBE) results for an optimized crystal structure of RbCa2ReSb.

Cell lengths 5.9151, 6.7444, 5.9151 Å; angles 90.00, 90.00, 90.00 degrees
Last column: magnetic moment on the atom in μB.
Sites, in units of the cell vectors:
Re 0.5000 0.5000 0.5000  3.45
Ca 0.0000 0.0000 0.5000  -0.02
Ca 0.5000 0.0000 0.0000  -0.03
Sb 0.0000 0.0000 0.0000  0.01
Rb 0.0000 0.5000 0.0000  0.00

Properties
- Symmetry: P4/mmm (123)
- D(E_F): 1.14 states/eV/atom
- Total DFT energy (no corrections): -3.273 eV/atom
- Raw formation energy: 99.9 kJ per mole of atoms

---

# 6
DFT (GGA-PBE) results for an optimized crystal structure of TbTl2Pd8.

Cell lengths 5.1206, 7.6879, 7.6879 Å; angles 119.27, 108.80, 108.80 degrees
Sites, in units of the cell vectors:
Pd 0.1392 0.3312 0.0989
Pd 0.1392 0.0989 0.3312
Pd 0.5000 0.2144 0.7856
Tl 0.0000 0.3091 0.6909
Tl 0.0000 0.6909 0.3091
Pd 0.3036 0.5627 0.5627
Pd 0.5000 0.7856 0.2144
Pd 0.6964 0.4373 0.4373
Pd 0.8608 0.9011 0.6688
Tb 0.5000 0.0000 0.0000
Pd 0.8608 0.6688 0.9011

Properties
- DFT formation energy: -290.2 meV/atom
- Symmetry: C2/m (12)
- D(E_F): 0.42 states/eV/atom
- Total DFT energy (no corrections): -4.918 eV/atom

---

# 7
DFT (GGA-PBE) results for an optimized crystal structure of CsSr2NdI8.

Cell lengths 7.9142, 7.5642, 10.3262 Å; angles 89.93, 89.96, 89.68 degrees
Sites, in units of the cell vectors:
Sr 0.4999 0.5000 0.2498
I 0.3297 0.2509 0.0002
I 0.6082 0.7385 0.4997
I 0.6703 0.7491 0.9998
I 0.3918 0.2615 0.5003
I 0.8420 0.2480 0.7915
Sr 0.5001 0.5000 0.7502
Nd 0.0000 0.0000 0.0000
I 0.8412 0.2473 0.2082
Cs 0.0000 0.0000 0.5000
I 0.1580 0.7520 0.2085
I 0.1588 0.7527 0.7918

Properties
- Symmetry: P-1 (2)
- D(E_F): 0.00 states/eV/atom
- Total DFT energy (no corrections): -3.319 eV/atom
- Raw formation energy: -148.3 kJ per mole of atoms

---

# 8
DFT (GGA-PBE) results for an optimized crystal structure of Tb2TcNi3Ge4.

Cell lengths 4.0946, 4.0946, 9.9574 Å; angles 90.00, 90.00, 90.00 degrees
Sites, in units of the cell vectors:
Ge 0.5000 0.5000 0.0000
Tb 0.0000 0.5000 0.7590
Ge 0.5000 0.0000 0.6374
Ni 0.0000 0.5000 0.1251
Ni 0.0000 0.0000 0.5000
Tc 0.5000 0.5000 0.5000
Ge 0.0000 0.5000 0.3626
Tb 0.5000 0.0000 0.2410
Ge 0.0000 0.0000 0.0000
Ni 0.5000 0.0000 0.8749

Properties
- DFT formation energy: -635.2 meV/atom
- Symmetry: P-4m2 (115)
- D(E_F): 0.57 states/eV/atom
- Total DFT energy (no corrections): -6.179 eV/atom

---

# 9
DFT (GGA-PBE) results for an optimized crystal structure of YSiPd2.

Cell lengths 4.0430, 3.5901, 5.4510 Å; angles 90.02, 90.00, 90.00 degrees
Sites, in units of the cell vectors:
Pd 0.0000 0.0002 0.2512
Pd 0.0000 0.9998 0.7488
Si 0.5000 0.0000 0.5000
Y 0.5000 0.5000 0.0000

Properties
- Symmetry: Pmmm (47)
- D(E_F): 0.62 states/eV/atom
- Total DFT energy (no corrections): -6.261 eV/atom
- Raw formation energy: -66.9 kJ per mole of atoms

---

# 10
DFT (GGA-PBE) results for an optimized crystal structure of Sc6GaAu5.

Cell lengths 4.7724, 6.8714, 7.5912 Å; angles 90.00, 71.68, 90.00 degrees
Sites, in units of the cell vectors:
Au 0.0000 0.5000 0.0000
Sc 0.1668 0.2476 0.6664
Sc 0.5000 0.7440 0.0000
Au 0.6549 0.0000 0.6903
Sc 0.8332 0.7524 0.3336
Ga 0.0000 0.0000 0.0000
Au 0.6713 0.5000 0.6573
Sc 0.5000 0.2560 0.0000
Au 0.3451 0.0000 0.3097
Au 0.3287 0.5000 0.3427
Sc 0.1668 0.7524 0.6664
Sc 0.8332 0.2476 0.3336

Properties
- DFT formation energy: -773.5 meV/atom
- Symmetry: Cmmm (65)
- D(E_F): 0.68 states/eV/atom
- Total DFT energy (no corrections): -5.557 eV/atom

---

# 11
DFT (GGA-PBE) results for an optimized crystal structure of Ac4Pt.

Cell lengths 3.9276, 7.2561, 7.2561 Å; angles 85.80, 74.30, 74.30 degrees
Sites, in units of the cell vectors:
Pt 0.0000 0.0000 0.0000
Ac 0.2462 0.3226 0.1851
Ac 0.5687 0.1851 0.6774
Ac 0.4313 0.8149 0.3226
Ac 0.7538 0.6774 0.8149

Properties
- DFT formation energy: -399.3 meV/atom
- Symmetry: I4/m (87)
- D(E_F): 1.31 states/eV/atom
- Total DFT energy (no corrections): -4.894 eV/atom

---

# 12
DFT (GGA-PBE) results for an optimized crystal structure of Mo2RuPt.

Cell lengths 2.7628, 2.7628, 8.0413 Å; angles 90.00, 90.00, 90.00 degrees
Sites, in units of the cell vectors:
Ru 0.5000 0.5000 0.7590
Mo 0.5000 0.5000 0.2544
Pt 0.0000 0.0000 0.5010
Mo 0.0000 0.0000 0.9855

Properties
- DFT formation energy: -37.3 meV/atom
- Symmetry: P4mm (99)
- D(E_F): 0.91 states/eV/atom
- Total DFT energy (no corrections): -9.282 eV/atom

---

Among the records above, which one has the highest total DFT energy (no corrections)?
RbCa2ReSb

---

What did the fourth record say?
DFT (GGA-PBE) results for an optimized crystal structure of Pm6DyHo6.

Cell lengths 6.7146, 6.7146, 11.3700 Å; angles 90.00, 90.00, 120.00 degrees
Last column: magnetic moment on the atom in μB.
Sites, in units of the cell vectors:
Pm 0.3333 0.6667 0.5000  0.08
Pm 0.6667 0.3333 0.0000  0.01
Ho 0.0000 0.5000 0.2462  0.05
Ho 0.0000 0.5000 0.7538  0.05
Pm 0.3333 0.6667 0.0000  0.01
Ho 0.5000 0.0000 0.7538  0.05
Ho 0.5000 0.5000 0.7538  0.05
Pm 0.0000 0.0000 0.6558  0.05
Ho 0.5000 0.5000 0.2462  0.05
Ho 0.5000 0.0000 0.2462  0.05
Pm 0.6667 0.3333 0.5000  0.08
Dy 0.0000 0.0000 0.0000  0.03
Pm 0.0000 0.0000 0.3442  0.05

Properties
- DFT formation energy: 275.5 meV/atom
- Symmetry: P6/mmm (191)
- D(E_F): 2.18 states/eV/atom
- Total DFT energy (no corrections): -4.384 eV/atom

---

What is the D(E_F) in the seventh record?
0.00 states/eV/atom